{
  "formula": "HgGe2As",
  "functional": "GGA-PBE",
  "state": "relaxed",
  "total_magnetization_mub_per_cell": 0.0,
  "ef_ev_per_atom": 0.37,
  "e_above_lowest_polymorph_mev_per_atom": 202.9,
  "space_group": "Fm-3m (225)",
  "cell": [[-0.069, -2.320, 4.345], [0.368, 2.583, 4.178], [-3.904, 0.449, 2.971]],
  "species": ["As", "Ge", "Hg", "Ge"],
  "frac_coords": [[0.000, 0.000, 0.000], [0.250, 0.250, 0.250], [0.500, 0.500, 0.500], [0.750, 0.750, 0.750]]
}